Computed, not measured: a relaxed CsK10Na6 crystal at the PBE level of DFT.

Cell: 11.883 11.883 8.507 Å, 90.00 90.00 120.00°
Positions (direct):
Cs: 0.000 0.000 0.000
K: 0.000 0.305 0.328
K: 0.000 0.695 0.672
K: 0.305 0.000 0.328
K: 0.305 0.305 0.672
K: 0.333 0.667 0.000
K: 0.333 0.667 0.500
K: 0.667 0.333 0.000
K: 0.667 0.333 0.500
K: 0.695 0.000 0.672
K: 0.695 0.695 0.328
Na: 0.000 0.365 0.830
Na: 0.000 0.635 0.170
Na: 0.365 0.000 0.830
Na: 0.365 0.365 0.170
Na: 0.635 0.000 0.170
Na: 0.635 0.635 0.830

Crystal system: trigonal
Calculated formation energy: 0.0273 eV per atom